Pr4Hg4Bi5: optimized geometry, PBE-GGA.

Cell and atoms, written as POSCAR:
```
Pr4Hg4Bi5
1.0
-6.5531 6.5531 2.3305
6.5531 -6.5531 2.3305
6.5531 6.5531 -2.3305
Pr Hg Bi
4 4 5
Direct
0.0978 0.7729 0.8707 Pr
0.2271 0.0978 0.3248 Pr
0.7729 0.9022 0.6752 Pr
0.9022 0.2271 0.1293 Pr
0.0875 0.4089 0.4964 Hg
0.4089 0.9125 0.3214 Hg
0.5911 0.0875 0.6786 Hg
0.9125 0.5911 0.5036 Hg
0.0000 0.0000 0.0000 Bi
0.2894 0.5873 0.8766 Bi
0.4127 0.2894 0.7021 Bi
0.5873 0.7106 0.2979 Bi
0.7106 0.4127 0.1234 Bi
```

Results
The symmetry is I4/m (87). As for the total magnetic moment: 0.0 μB/cell. As for the energy: -3.549 eV/atom.